Record 1
Here is a geometry-optimized CsLuFeSe3 structure from the Open Quantum Materials Database. Energies are from GGA-PBE.

Values from the calculation:
V = 29.413 A^3/atom
distance to the lowest polymorph of the same formula = 0.013 eV/atom

Cell and atoms, written as CIF:
```
data_CsLuFeSe3
_space_group_name_H-M_alt 'P 1'
_space_group_IT_number 1
_cell_length_a 10.6500
_cell_length_b 8.3588
_cell_length_c 8.3588
_cell_angle_alpha 28.32
_cell_angle_beta 90.00
_cell_angle_gamma 90.00
loop_
_space_group_symop_operation_xyz
'x,y,z'
loop_
_atom_site_label
_atom_site_type_symbol
_atom_site_fract_x
_atom_site_fract_y
_atom_site_fract_z
_atom_site_occupancy
Cs1 Cs 0.5000 0.2562 0.2562 1
Cs2 Cs 0.0000 0.7438 0.7438 1
Fe1 Fe 0.0000 0.4669 0.4669 1
Fe2 Fe 0.5000 0.5331 0.5331 1
Lu1 Lu 0.2500 0.0000 0.0000 1
Lu2 Lu 0.7500 0.0000 0.0000 1
Se1 Se 0.0000 0.0555 0.0555 1
Se2 Se 0.1911 0.3859 0.3859 1
Se3 Se 0.8089 0.3859 0.3859 1
Se4 Se 0.3089 0.6141 0.6141 1
Se5 Se 0.6911 0.6141 0.6141 1
Se6 Se 0.5000 0.9445 0.9445 1
```

=====

Record 2
Here is a geometry-optimized K2YAuBr6 structure from the Open Quantum Materials Database. Energies are from GGA-PBE.

Values from the calculation:
V = 35.729 A^3/atom
raw total energy = -35.61 eV/cell

Cell and atoms, written as CIF:
```
data_K2YAuBr6
_space_group_name_H-M_alt 'P 1'
_space_group_IT_number 1
_cell_length_a 7.9649
_cell_length_b 7.9649
_cell_length_c 7.9649
_cell_angle_alpha 60.00
_cell_angle_beta 60.00
_cell_angle_gamma 60.00
loop_
_space_group_symop_operation_xyz
'x,y,z'
loop_
_atom_site_label
_atom_site_type_symbol
_atom_site_fract_x
_atom_site_fract_y
_atom_site_fract_z
_atom_site_occupancy
Au1 Au 0.5000 0.5000 0.5000 1
Br1 Br 0.7523 0.2477 0.2477 1
Br2 Br 0.2477 0.7523 0.2477 1
Br3 Br 0.7523 0.7523 0.2477 1
Br4 Br 0.2477 0.2477 0.7523 1
Br5 Br 0.7523 0.2477 0.7523 1
Br6 Br 0.2477 0.7523 0.7523 1
K1 K 0.2500 0.2500 0.2500 1
K2 K 0.7500 0.7500 0.7500 1
Y1 Y 0.0000 0.0000 0.0000 1
```

=====

Record 3
Here is a geometry-optimized LuHgGe structure from the Open Quantum Materials Database. Energies are from GGA-PBE.

Values from the calculation:
V = 24.554 A^3/atom
raw total energy = -10.17 eV/cell

Cell and atoms, written as CIF:
```
data_LuHgGe
_space_group_name_H-M_alt 'P 1'
_space_group_IT_number 1
_cell_length_a 4.7053
_cell_length_b 4.7053
_cell_length_c 4.7053
_cell_angle_alpha 60.00
_cell_angle_beta 60.00
_cell_angle_gamma 60.00
loop_
_space_group_symop_operation_xyz
'x,y,z'
loop_
_atom_site_label
_atom_site_type_symbol
_atom_site_fract_x
_atom_site_fract_y
_atom_site_fract_z
_atom_site_occupancy
Ge1 Ge 0.0000 0.0000 0.0000 1
Hg1 Hg 0.2500 0.2500 0.2500 1
Lu1 Lu 0.7500 0.7500 0.7500 1
```

=====

Record 4
Here is a geometry-optimized DyHoBi2Se2 structure from the Open Quantum Materials Database. Energies are from GGA-PBE.

Values from the calculation:
V = 27.057 A^3/atom
raw total energy = -31.20 eV/cell

Cell and atoms, written as CIF:
```
data_DyHoBi2Se2
_space_group_name_H-M_alt 'P 1'
_space_group_IT_number 1
_cell_length_a 4.2680
_cell_length_b 4.2680
_cell_length_c 8.9123
_cell_angle_alpha 90.00
_cell_angle_beta 90.00
_cell_angle_gamma 90.00
loop_
_space_group_symop_operation_xyz
'x,y,z'
loop_
_atom_site_label
_atom_site_type_symbol
_atom_site_fract_x
_atom_site_fract_y
_atom_site_fract_z
_atom_site_occupancy
Bi1 Bi 0.5000 0.0000 0.9996 1
Bi2 Bi 0.0000 0.5000 0.9996 1
Dy1 Dy 0.0000 0.0000 0.3043 1
Ho1 Ho 0.5000 0.5000 0.6954 1
Se1 Se 0.5000 0.5000 0.3747 1
Se2 Se 0.0000 0.0000 0.6265 1
```

=====

Record 5
Here is a geometry-optimized PmSbN2O structure from the Open Quantum Materials Database. Energies are from GGA-PBE.

Values from the calculation:
V = 13.126 A^3/atom
raw total energy = -140.50 eV/cell

Cell and atoms, written as CIF:
```
data_PmSbN2O
_space_group_name_H-M_alt 'P 1'
_space_group_IT_number 1
_cell_length_a 8.1739
_cell_length_b 5.6007
_cell_length_c 5.7343
_cell_angle_alpha 90.00
_cell_angle_beta 90.00
_cell_angle_gamma 90.00
loop_
_space_group_symop_operation_xyz
'x,y,z'
loop_
_atom_site_label
_atom_site_type_symbol
_atom_site_fract_x
_atom_site_fract_y
_atom_site_fract_z
_atom_site_occupancy
N1 N 0.1960 0.5459 0.1815 1
N2 N 0.8040 0.5459 0.1815 1
N3 N 0.3039 0.0460 0.2707 1
N4 N 0.6961 0.0460 0.2707 1
N5 N 0.1960 0.4541 0.6815 1
N6 N 0.8040 0.4541 0.6815 1
N7 N 0.3039 0.9540 0.7707 1
N8 N 0.6961 0.9540 0.7707 1
O1 O 0.0000 0.1479 0.0032 1
O2 O 0.5000 0.6478 0.4489 1
O3 O 0.0000 0.8521 0.5032 1
O4 O 0.5000 0.3522 0.9489 1
Pm1 Pm 0.5000 0.7706 0.0284 1
Pm2 Pm 0.0000 0.2706 0.4238 1
Pm3 Pm 0.5000 0.2294 0.5284 1
Pm4 Pm 0.0000 0.7294 0.9238 1
Sb1 Sb 0.2500 0.7500 0.4760 1
Sb2 Sb 0.7500 0.7500 0.4760 1
Sb3 Sb 0.2500 0.2500 0.9760 1
Sb4 Sb 0.7500 0.2500 0.9760 1
```

=====

Record 6
Here is a geometry-optimized CoHgSbMo structure from the Open Quantum Materials Database. Energies are from GGA-PBE.

Values from the calculation:
V = 17.020 A^3/atom
distance to the lowest polymorph of the same formula = 0.000 eV/atom

Cell and atoms, written as CIF:
```
data_CoHgSbMo
_space_group_name_H-M_alt 'P 1'
_space_group_IT_number 1
_cell_length_a 4.5833
_cell_length_b 4.5833
_cell_length_c 4.5833
_cell_angle_alpha 60.00
_cell_angle_beta 60.00
_cell_angle_gamma 60.00
loop_
_space_group_symop_operation_xyz
'x,y,z'
loop_
_atom_site_label
_atom_site_type_symbol
_atom_site_fract_x
_atom_site_fract_y
_atom_site_fract_z
_atom_site_occupancy
Co1 Co 0.7500 0.7500 0.7500 1
Hg1 Hg 0.5000 0.5000 0.5000 1
Mo1 Mo 0.2500 0.2500 0.2500 1
Sb1 Sb 0.0000 0.0000 0.0000 1
```

=====

Record 7
Here is a geometry-optimized RePtNO structure from the Open Quantum Materials Database. Energies are from GGA-PBE.

Values from the calculation:
V = 11.126 A^3/atom
distance to the lowest polymorph of the same formula = 0.594 eV/atom

Cell and atoms, written as CIF:
```
data_RePtNO
_space_group_name_H-M_alt 'P 1'
_space_group_IT_number 1
_cell_length_a 4.1317
_cell_length_b 4.1317
_cell_length_c 5.3271
_cell_angle_alpha 90.00
_cell_angle_beta 90.00
_cell_angle_gamma 101.83
loop_
_space_group_symop_operation_xyz
'x,y,z'
loop_
_atom_site_label
_atom_site_type_symbol
_atom_site_fract_x
_atom_site_fract_y
_atom_site_fract_z
_atom_site_occupancy
N1 N 0.7500 0.7500 0.2718 1
N2 N 0.2500 0.2500 0.7282 1
O1 O 0.7500 0.2500 0.0000 1
O2 O 0.2500 0.7500 0.0000 1
Pt1 Pt 0.7500 0.2500 0.5000 1
Pt2 Pt 0.2500 0.7500 0.5000 1
Re1 Re 0.2500 0.2500 0.0865 1
Re2 Re 0.7500 0.7500 0.9135 1
```

=====

Record 8
Here is a geometry-optimized ZrCdInS3 structure from the Open Quantum Materials Database. Energies are from GGA-PBE.

Values from the calculation:
V = 23.018 A^3/atom
raw total energy = -59.22 eV/cell

Cell and atoms, written as CIF:
```
data_ZrCdInS3
_space_group_name_H-M_alt 'P 1'
_space_group_IT_number 1
_cell_length_a 7.1445
_cell_length_b 7.1445
_cell_length_c 10.7336
_cell_angle_alpha 90.00
_cell_angle_beta 90.00
_cell_angle_gamma 149.72
loop_
_space_group_symop_operation_xyz
'x,y,z'
loop_
_atom_site_label
_atom_site_type_symbol
_atom_site_fract_x
_atom_site_fract_y
_atom_site_fract_z
_atom_site_occupancy
Cd1 Cd 0.6550 0.3450 0.2500 1
Cd2 Cd 0.3450 0.6550 0.7500 1
In1 In 0.3239 0.6761 0.2500 1
In2 In 0.6761 0.3239 0.7500 1
S1 S 0.3716 0.6284 0.0010 1
S2 S 0.9958 0.0042 0.2500 1
S3 S 0.3716 0.6284 0.4990 1
S4 S 0.6284 0.3716 0.5010 1
S5 S 0.0042 0.9958 0.7500 1
S6 S 0.6284 0.3716 0.9990 1
Zr1 Zr 0.0000 0.0000 0.0000 1
Zr2 Zr 0.0000 0.0000 0.5000 1
```

=====

Record 9
Here is a geometry-optimized ErCuSnSeS2 structure from the Open Quantum Materials Database. Energies are from GGA-PBE.

Values from the calculation:
V = 21.958 A^3/atom
raw total energy = -60.07 eV/cell

Cell and atoms, written as CIF:
```
data_ErCuSnSeS2
_space_group_name_H-M_alt 'P 1'
_space_group_IT_number 1
_cell_length_a 6.8669
_cell_length_b 6.8669
_cell_length_c 10.3303
_cell_angle_alpha 90.00
_cell_angle_beta 90.00
_cell_angle_gamma 147.25
loop_
_space_group_symop_operation_xyz
'x,y,z'
loop_
_atom_site_label
_atom_site_type_symbol
_atom_site_fract_x
_atom_site_fract_y
_atom_site_fract_z
_atom_site_occupancy
Cu1 Cu 0.0355 0.9645 0.2500 1
Cu2 Cu 0.9645 0.0355 0.7500 1
Er1 Er 0.5000 0.5000 0.0000 1
Er2 Er 0.5000 0.5000 0.5000 1
S1 S 0.1362 0.8638 0.0670 1
S2 S 0.1362 0.8638 0.4330 1
S3 S 0.8638 0.1362 0.5670 1
S4 S 0.8638 0.1362 0.9330 1
Se1 Se 0.4135 0.5865 0.2500 1
Se2 Se 0.5865 0.4135 0.7500 1
Sn1 Sn 0.7301 0.2699 0.2500 1
Sn2 Sn 0.2699 0.7301 0.7500 1
```

=====

Record 10
Here is a geometry-optimized YTc2Se4 structure from the Open Quantum Materials Database. Energies are from GGA-PBE.

Values from the calculation:
V = 24.103 A^3/atom
raw total energy = -88.03 eV/cell

Cell and atoms, written as CIF:
```
data_YTc2Se4
_space_group_name_H-M_alt 'P 1'
_space_group_IT_number 1
_cell_length_a 7.8146
_cell_length_b 7.8146
_cell_length_c 7.8146
_cell_angle_alpha 60.00
_cell_angle_beta 60.00
_cell_angle_gamma 60.00
loop_
_space_group_symop_operation_xyz
'x,y,z'
loop_
_atom_site_label
_atom_site_type_symbol
_atom_site_fract_x
_atom_site_fract_y
_atom_site_fract_z
_atom_site_occupancy
Se1 Se 0.1422 0.5734 0.1422 1
Se2 Se 0.1422 0.1422 0.1422 1
Se3 Se 0.5734 0.1422 0.1422 1
Se4 Se 0.6078 0.6078 0.1766 1
Se5 Se 0.1422 0.1422 0.5734 1
Se6 Se 0.6078 0.1766 0.6078 1
Se7 Se 0.1766 0.6078 0.6078 1
Se8 Se 0.6078 0.6078 0.6078 1
Tc1 Tc 0.8750 0.3750 0.3750 1
Tc2 Tc 0.3750 0.8750 0.3750 1
Tc3 Tc 0.3750 0.3750 0.3750 1
Tc4 Tc 0.3750 0.3750 0.8750 1
Y1 Y 0.0000 0.0000 0.0000 1
Y2 Y 0.7500 0.7500 0.7500 1
```